(1)
VASP calculation (PBE) on crystalline Ag3Te3As at its relaxed geometry.

Volume, A^3/atom: 27.1
Total DFT energy (no corrections), eV/atom: -3.19
Magnetic moment, μB/cell: 0.0

Cell: 9.4337 6.8734 11.8207 Å, 98.41 90.00 90.00°
Sites, in units of the cell vectors:
Te 0.6651 0.6773 0.7758
Te 0.1651 0.3227 0.7242
Te 0.9630 0.8112 0.6095
Te 0.1034 0.7496 0.9716
Te 0.4630 0.1888 0.8905
Te 0.5370 0.8112 0.1095
Te 0.3966 0.7496 0.4716
Te 0.3349 0.3227 0.2242
Te 0.8966 0.2504 0.0284
Te 0.6034 0.2504 0.5284
Te 0.8349 0.6773 0.2758
Te 0.0370 0.1888 0.3905
Ag 0.2524 0.6910 0.6771
Ag 0.1949 0.3436 0.9834
Ag 0.1153 0.0614 0.1503
Ag 0.8051 0.6564 0.0166
Ag 0.3051 0.3436 0.4834
Ag 0.6153 0.9386 0.3497
Ag 0.7476 0.3090 0.3229
Ag 0.3847 0.0614 0.6503
Ag 0.7524 0.3090 0.8229
Ag 0.8847 0.9386 0.8497
Ag 0.6949 0.6564 0.5166
Ag 0.2476 0.6910 0.1771
As 0.0907 0.8083 0.3716
As 0.9093 0.1917 0.6284
As 0.5907 0.1917 0.1284
As 0.4093 0.8083 0.8716

(2)
VASP calculation (PBE) on crystalline AgTeAs2 at its relaxed geometry.

Volume, A^3/atom: 23.9
Total DFT energy (no corrections), eV/atom: -3.77
Magnetic moment, μB/cell: 0.0

Cell: 6.4102 6.4102 4.3700 Å, 110.78 110.78 35.05°
Sites, in units of the cell vectors:
As 0.9935 0.9935 0.9285
As 0.5065 0.5065 0.5715
Ag 0.7500 0.7500 0.7500
Te 0.2500 0.2500 0.2500

(3)
VASP calculation (PBE) on crystalline AgTeAs3 at its relaxed geometry.

Volume, A^3/atom: 25.3
Total DFT energy (no corrections), eV/atom: -3.14
Magnetic moment, μB/cell: 0.0
Offset from the most stable computed form, meV per atom: 0.0

Cell: 5.0204 5.0204 5.0204 Å, 90.00 90.00 90.00°
Sites, in units of the cell vectors:
Ag 0.0000 0.0000 0.0000
As 0.5000 0.0000 0.0000
As 0.0000 0.0000 0.5000
As 0.0000 0.5000 0.0000
Te 0.5000 0.5000 0.5000